The following is a GGA-PBE calculation of a relaxed structure of Pm4MnI5, from Alexandria.

a b c (Å): 10.002 10.002 9.505
angles (deg): 103.41 103.41 24.21
Sites, in units of the cell vectors:
Pm 0.000 0.000 0.224
Pm 0.000 0.000 0.776
Pm 0.369 0.369 0.934
Pm 0.631 0.631 0.066
Mn 0.500 0.500 0.000
I 0.167 0.167 0.327
I 0.169 0.169 0.840
I 0.500 0.500 0.500
I 0.831 0.831 0.160
I 0.833 0.833 0.673

- Calculated total energy: -4.527 eV per atom
- Formation energy from raw total energies: -0.94 eV/atom